{"formula": "CuNi2Ge", "functional": "GGA-PBE", "state": "relaxed", "lattice": [[-0.879, 6.295, -1.244], [-3.345, 0.622, 5.511], [-0.004, 3.994, 3.352]], "species": ["Ni", "Ni", "Ni", "Ni", "Ge", "Ge", "Cu", "Cu"], "frac_coords": [[0.110, 0.625, 0.250], [0.875, 0.890, 0.750], [0.375, 0.360, 0.750], [0.640, 0.125, 0.250], [0.000, 0.000, 0.000], [0.750, 0.250, 0.500], [0.500, 0.500, 0.000], [0.250, 0.750, 0.500]], "space_group": "I-42d, No. 122", "e_form_mev_per_atom": 116, "e_tot_ev_per_atom": -4.953, "magnetic_moment_mub_per_fu": 0.000}